PBE SiP2Os, optimized geometry; raw formation energy = 0.45 eV/atom; electronic total energy = -6.419 eV per atom; total magnetic moment = 0.000 μB/atom; space-group type = P2/m; density = 8.6 g/cm3
1.0
2.9390 0.0000 0.0000
0.0000 4.3326 -0.0179
0.0000 3.0755 4.2345
P Os Si
2 1 1
Direct
0.0000 0.0000 0.0000
0.5000 0.5000 0.0000
0.0000 0.0000 0.5000
0.5000 0.5000 0.5000


PBE SiP2Os, optimized geometry; raw formation energy = 0.29 eV/atom; electronic total energy = -6.581 eV per atom; total magnetic moment = 0.000 μB/atom; space-group type = Immm; density = 7.5 g/cm3
1.0
5.9544 0.0001 0.0083
3.9240 4.4786 -0.0083
-4.6102 -2.9651 2.3259
P Os Si
2 1 1
Direct
0.0602 0.0602 0.0000
0.4398 0.4398 0.0000
0.2500 0.7500 0.5000
0.7500 0.2500 0.5000


PBE SiP4Os, optimized geometry; raw formation energy = 1.07 eV/atom; electronic total energy = -5.311 eV per atom; total magnetic moment = 0.000 μB/atom; space-group type = F-43m; density = 6.6 g/cm3
1.0
0.0000 3.5092 3.5092
3.5092 0.0000 3.5092
3.5092 3.5092 0.0000
P Os Si
4 1 1
Direct
0.6213 0.1360 0.6213
0.1360 0.6213 0.6213
0.6213 0.6213 0.6213
0.6213 0.6213 0.1360
0.0000 0.0000 0.0000
0.2500 0.2500 0.2500


PBE SiP2Os, optimized geometry; raw formation energy = 0.57 eV/atom; electronic total energy = -6.295 eV per atom; total magnetic moment = 0.000 μB/atom; space-group type = Pmmm; density = 8.3 g/cm3
1.0
-0.1760 -1.4150 2.5664
2.1571 -3.1589 -1.5937
3.9052 1.9806 1.3598
P Si Os
2 1 1
Direct
0.0000 0.0000 0.0000
0.5000 0.5000 0.0000
0.5000 0.0000 0.5000
0.0000 0.5000 0.5000


PBE Si2POs, optimized geometry; raw formation energy = 0.40 eV/atom; electronic total energy = -6.473 eV per atom; total magnetic moment = 0.000 μB/atom; space-group type = Cmmm; density = 8.1 g/cm3
1.0
-2.2999 -1.7942 0.0845
2.6584 -1.2011 0.0786
-0.0398 0.4076 7.5712
Si P Os
2 1 1
Direct
0.0000 0.0000 0.9970
0.0000 0.0000 0.5030
0.5000 0.5000 0.7500
0.5000 0.5000 0.2500


PBE Si2POs, optimized geometry; raw formation energy = -0.11 eV/atom; electronic total energy = -6.983 eV per atom; total magnetic moment = 0.000 μB/atom; space-group type = Amm2; density = 7.2 g/cm3
1.0
-3.3443 -2.1712 -1.5199
-0.3159 -2.1579 3.7777
-2.3178 1.1005 3.5278
Si P Os
2 1 1
Direct
0.5000 0.3759 0.3761
0.0000 0.8806 0.8804
0.5000 0.6960 0.6961
0.0000 0.5475 0.5474


PBE SiP2Os, optimized geometry; raw formation energy = 0.48 eV/atom; electronic total energy = -6.384 eV per atom; total magnetic moment = 0.000 μB/atom; space-group type = Imm2; density = 8.3 g/cm3
1.0
-4.3081 -0.0455 1.9312
-1.2832 -4.5430 0.0779
3.2242 2.9756 1.7441
Os P Si
1 2 1
Direct
0.2386 0.7386 0.5000
0.9881 0.9881 0.0000
0.7535 0.2535 0.5000
0.5198 0.5198 0.0000


PBE Si2POs, optimized geometry; raw formation energy = 0.48 eV/atom; electronic total energy = -6.389 eV per atom; total magnetic moment = 0.000 μB/atom; space-group type = Pmmm; density = 8.2 g/cm3
1.0
2.9562 0.0000 0.0000
0.0000 4.6384 0.0000
0.0000 0.0000 4.0905
Si Os P
2 1 1
Direct
0.0000 0.0000 0.0000
0.5000 0.5000 0.0000
0.5000 0.0000 0.5000
0.0000 0.5000 0.5000


PBE Si2POs, optimized geometry; raw formation energy = 0.20 eV/atom; electronic total energy = -6.672 eV per atom; total magnetic moment = 0.000 μB/atom; space-group type = C2/m; density = 8.3 g/cm3
1.0
4.4369 0.0128 -0.0027
3.4170 2.8303 -0.0027
0.4241 0.1535 4.4150
Si P Os
2 1 1
Direct
0.4821 0.4821 0.5111
0.0179 0.0179 0.9889
0.2500 0.2500 0.2500
0.7500 0.7500 0.7500


PBE SiP2Os, optimized geometry; raw formation energy = 0.50 eV/atom; electronic total energy = -6.366 eV per atom; total magnetic moment = 0.000 μB/atom; space-group type = Cmm2; density = 7.3 g/cm3
1.0
-1.9627 1.1563 1.5941
-0.6047 -0.3372 -2.6927
-3.4450 -8.3571 1.8202
Si P Os
1 2 1
Direct
0.0000 0.0000 0.5152
0.0000 0.0000 0.9448
0.5000 0.5000 0.2969
0.5000 0.5000 0.7431


PBE SiP2Os, optimized geometry; raw formation energy = 0.15 eV/atom; electronic total energy = -6.715 eV per atom; total magnetic moment = 0.000 μB/atom; space-group type = P4mm; density = 7.6 g/cm3
1.0
-1.5159 2.1407 1.4367
1.2213 -0.8718 2.5878
5.2103 4.3551 -0.9917
P Si Os
2 1 1
Direct
0.5000 0.5000 0.3377
0.0000 0.0000 0.9344
0.0000 0.0000 0.4984
0.5000 0.5000 0.7294


PBE SiPOs4, optimized geometry; raw formation energy = 1.17 eV/atom; electronic total energy = -8.126 eV per atom; total magnetic moment = 0.000 μB/atom; space-group type = F-43m; density = 14.1 g/cm3
1.0
0.0000 3.6379 3.6379
3.6379 0.0000 3.6379
3.6379 3.6379 0.0000
P Os Si
1 4 1
Direct
0.7500 0.7500 0.7500
0.3751 0.3751 0.3751
0.3751 0.8748 0.3751
0.3751 0.3751 0.8748
0.8748 0.3751 0.3751
0.0000 0.0000 0.0000


Please write out number 3 again, unchanged.
PBE SiP4Os, optimized geometry; raw formation energy = 1.07 eV/atom; electronic total energy = -5.311 eV per atom; total magnetic moment = 0.000 μB/atom; space-group type = F-43m; density = 6.6 g/cm3
1.0
0.0000 3.5092 3.5092
3.5092 0.0000 3.5092
3.5092 3.5092 0.0000
P Os Si
4 1 1
Direct
0.6213 0.1360 0.6213
0.1360 0.6213 0.6213
0.6213 0.6213 0.6213
0.6213 0.6213 0.1360
0.0000 0.0000 0.0000
0.2500 0.2500 0.2500